First-principles (PBE) data for a geometry-optimized Mg2TaSi structure, as listed in the Alexandria database.

Summary:
For the total moment, the calculation gives 0.0 μB/cell. As for the space group: Pm. As for the formation energy from raw total energies: 1.62 kcal/mol of atoms. Its uncorrected energy is -5.046 eV per atom.

Cell: 3.7590 3.2550 6.4850 Å, 75.29 90.00 90.00°
With the nearest neighbours (Å) after each atom.
Fractional coordinates of all 4 atoms:
Mg (0.0000, 0.0702, 0.9840)  1 Si 2.61
Mg (0.5000, 0.4325, 0.2575)  2 Si 2.70, 4 Mg 3.02
Si (0.0000, 0.2800, 0.5676)  4 Ta 2.60, 3 Mg 2.61-2.70
Ta (0.5000, 0.7172, 0.6909)  4 Si 2.60



First-principles (PBE) data for a geometry-optimized LiTe8Au2 structure, as listed in the Alexandria database.

Summary:
For the total moment, the calculation gives 0.0 μB/cell. As for the space group: C2/m. As for the formation energy from raw total energies: -0.95 kcal/mol of atoms. Its uncorrected energy is -3.096 eV per atom.

Cell: 7.4907 6.6731 6.6731 Å, 78.31 85.52 85.52°
With the nearest neighbours (Å) after each atom.
Fractional coordinates of all 11 atoms:
Li (0.0000, 0.0000, 0.0000)  2 Au 2.81, 6 Te 2.87-2.93
Te (0.1227, 0.1365, 0.5694)  1 Au 2.81, 1 Li 2.93, 1 Te 3.01
Te (0.1227, 0.5694, 0.1365)  1 Au 2.81, 1 Li 2.93, 1 Te 3.01
Te (0.8773, 0.8635, 0.4306)  1 Au 2.81, 1 Li 2.93, 1 Te 3.01
Te (0.3265, 0.5570, 0.5570)  1 Te 2.75, 1 Au 2.88
Te (0.8773, 0.4306, 0.8635)  1 Au 2.81, 1 Li 2.93, 1 Te 3.01
Te (0.3210, 0.1300, 0.1300)  2 Au 2.73-3.04, 1 Li 2.87
Te (0.6790, 0.8700, 0.8700)  2 Au 2.73-3.04, 1 Li 2.87
Te (0.6735, 0.4430, 0.4430)  1 Te 2.75, 1 Au 2.88
Au (0.6781, 0.1641, 0.1641)  5 Te 2.73-3.04, 1 Li 2.81
Au (0.3219, 0.8359, 0.8359)  5 Te 2.73-3.04, 1 Li 2.81